(1)
MgAl2Cl | PBE-GGA | optimized geometry

As for the density: 2.36 g cm⁻³. The value obtained for the energy above the most stable polymorph in this dataset is 0.121 eV/atom. The calculation puts the size of the total moment at 0.00 μB per atom. The uncorrected formation energy is -0.8 eV per formula unit.

Cell: 3.082 4.650 5.585 Å, 90.00 90.00 90.00°
Space group Pmmm (No. 47)
Symmetry-distinct sites (fractional):
Mg1 0.000 0.000 0.000 (multiplicity 1)
Al1 0.000 0.500 0.500 (multiplicity 1)
Al2 0.500 0.000 0.500 (multiplicity 1)
Cl1 0.500 0.500 0.000 (multiplicity 1)

=====

(2)
MgAlCl3 | PBE-GGA | optimized geometry

As for the density: 2.13 g cm⁻³. The value obtained for the energy above the most stable polymorph in this dataset is 0.000 eV/atom. The calculation puts the size of the total moment at 0.00 μB per atom. The uncorrected formation energy is -5.7 eV per formula unit.

Cell: 4.972 4.972 4.972 Å, 90.00 90.00 90.00°
Space group Pm-3m (No. 221)
Symmetry-distinct sites (fractional):
Mg1 0.000 0.000 0.000 (multiplicity 1)
Al1 0.500 0.500 0.500 (multiplicity 1)
Cl1 0.000 0.000 0.500 (multiplicity 3)

=====

(3)
Mg3AlCl | PBE-GGA | optimized geometry

As for the density: 1.55 g cm⁻³. The value obtained for the energy above the most stable polymorph in this dataset is 0.000 eV/atom. The calculation puts the size of the total moment at 0.00 μB per atom. The uncorrected formation energy is -0.4 eV per formula unit.

Cell: 5.251 5.251 5.251 Å, 90.00 90.00 90.00°
Space group Pm-3m (No. 221)
Symmetry-distinct sites (fractional):
Mg1 0.000 0.000 0.500 (multiplicity 3)
Al1 0.000 0.000 0.000 (multiplicity 1)
Cl1 0.500 0.500 0.500 (multiplicity 1)

=====

(4)
MgAl2Cl | PBE-GGA | optimized geometry

As for the density: 2.18 g cm⁻³. The value obtained for the energy above the most stable polymorph in this dataset is 0.197 eV/atom. The calculation puts the size of the total moment at 0.00 μB per atom. The uncorrected formation energy is -0.5 eV per formula unit.

Cell: 3.769 3.769 6.083 Å, 90.00 90.00 90.00°
Space group P4/mmm (No. 123)
Symmetry-distinct sites (fractional):
Mg1 0.000 0.000 0.000 (multiplicity 1)
Al1 0.000 0.500 0.500 (multiplicity 2)
Cl1 0.500 0.500 0.000 (multiplicity 1)